CsTmAgSe3: relaxed, PBE-GGA. Values from VASP.

```
&SYSTEM
  ibrav = 0, nat = 12, ntyp = 4
/
ATOMIC_SPECIES
Cs 132.91 Cs.upf
Tm 168.93 Tm.upf
Ag 107.87 Ag.upf
Se 78.96 Se.upf
ATOMIC_POSITIONS crystal
Cs 0.2501 0.5002 0.2500
Cs 0.7499 0.4998 0.7500
Tm 0.0000 0.0000 0.5000
Tm 0.0000 0.0000 0.0000
Ag 0.4650 0.9299 0.7500
Ag 0.5350 0.0701 0.2500
Se 0.6160 0.2319 0.0427
Se 0.3840 0.7681 0.9573
Se 0.3840 0.7681 0.5427
Se 0.6160 0.2319 0.4573
Se 0.0652 0.1303 0.7500
Se 0.9348 0.8697 0.2500
CELL_PARAMETERS angstrom
4.1187 0.0000 0.0000
-2.0594 8.3469 0.0000
0.0000 0.0000 10.7340
```

Values from the calculation:
E: -4.231 eV per atom
Space group: No. 63
DOS(E_F): 0.967 states/eV per atom
Magnetization: 0.0 Bohr magnetons per cell
Energy relative to the elements, uncorrected: -6.756 eV per formula unit